Material: Be2HgTe
Method: DFT, PBE-GGA
State: relaxed

Calculated total energy   -2.3090 eV/atom
DOS(E_F)   0.263 states/eV/atom
E_form (uncorrected)   0.415 eV per atom
ΔE to the lowest computed polymorph   0.077 eV/atom

CIF file:
```
data_Be2HgTe
_cell_length_a 4.044
_cell_length_b 3.609
_cell_length_c 5.628
_cell_angle_alpha 90.00
_cell_angle_beta 90.26
_cell_angle_gamma 90.00
_space_group_name_H-M_alt 'P 1 2/m 1'
_space_group_IT_number 10
_space_group_name_Hall '-P 2y'
loop_
_atom_site_label
_atom_site_fract_x
_atom_site_fract_y
_atom_site_fract_z
_atom_site_occupancy
Be1 0.005 0.000 0.309 1
Hg1 0.500 0.500 0.500 1
Te1 0.000 0.500 0.000 1
```

Material: RbBe2F2
Method: DFT, PBE-GGA
State: relaxed

Calculated total energy   -3.4848 eV/atom
DOS(E_F)   0.157 states/eV/atom
E_form (uncorrected)   -1.052 eV per atom
ΔE to the lowest computed polymorph   0.119 eV/atom

CIF file:
```
data_RbBe2F2
_cell_length_a 3.147
_cell_length_b 3.147
_cell_length_c 14.311
_cell_angle_alpha 90.00
_cell_angle_beta 90.00
_cell_angle_gamma 90.00
_space_group_name_H-M_alt 'I 4/m m m'
_space_group_IT_number 139
_space_group_name_Hall '-I 4 2'
loop_
_atom_site_label
_atom_site_fract_x
_atom_site_fract_y
_atom_site_fract_z
_atom_site_occupancy
Rb1 0.000 0.000 0.000 1
Be1 0.000 0.500 0.250 1
F1 0.000 0.000 0.381 1
```

Material: Nd6GaAg5
Method: DFT, PBE-GGA
State: relaxed

Calculated total energy   -4.1301 eV/atom
DOS(E_F)   0.981 states/eV/atom
Energy relative to the elements   -0.31 eV/atom

CIF file:
```
data_Nd6GaAg5
_cell_length_a 5.295
_cell_length_b 7.519
_cell_length_c 15.865
_cell_angle_alpha 90.00
_cell_angle_beta 90.00
_cell_angle_gamma 90.00
_space_group_name_H-M_alt 'I m m m'
_space_group_IT_number 71
_space_group_name_Hall '-I 2 2'
loop_
_atom_site_label
_atom_site_fract_x
_atom_site_fract_y
_atom_site_fract_z
_atom_site_occupancy
Nd1 0.000 0.247 0.000 1
Nd2 0.000 0.252 0.335 1
Ga1 0.000 0.500 0.500 1
Ag1 0.000 0.000 0.167 1
Ag2 0.000 0.000 0.500 1
Ag3 0.000 0.500 0.167 1
```

Material: La7AsSe5
Method: DFT, PBE-GGA
State: relaxed

Calculated total energy   -6.0907 eV/atom
DOS(E_F)   0.579 states/eV/atom
E_form (uncorrected)   -1.740 eV per atom

CIF file:
```
data_La7AsSe5
_cell_length_a 4.247
_cell_length_b 14.215
_cell_length_c 25.079
_cell_angle_alpha 90.00
_cell_angle_beta 90.00
_cell_angle_gamma 90.00
_space_group_name_H-M_alt 'C m c 21'
_space_group_IT_number 36
_space_group_name_Hall 'C 2c -2'
loop_
_atom_site_label
_atom_site_fract_x
_atom_site_fract_y
_atom_site_fract_z
_atom_site_occupancy
La1 0.000 0.032 0.000 1
La2 0.000 0.139 0.286 1
La3 0.000 0.139 0.714 1
La4 0.000 0.305 0.065 1
La5 0.000 0.305 0.935 1
La6 0.000 0.408 0.367 1
La7 0.000 0.408 0.633 1
As1 0.000 0.315 0.500 1
Se1 0.000 0.054 0.394 1
Se2 0.000 0.054 0.606 1
Se3 0.000 0.225 0.824 1
Se4 0.000 0.226 0.176 1
Se5 0.000 0.500 0.250 1
```